(1)
ThScReTc | GGA-PBE | optimized geometry

Output
spin magnetization = 0.00 μB/atom
ρ = 11.98 g/cm3
ΔH_f (0 K) = -0.043 eV/atom

abc: 6.7771 6.7771 6.7771
angles: 90.00 90.00 90.00
Last column: nearest neighbours and their distance in Å.
Space group F-43m (No. 216)
Asymmetric unit:
Th 0.0000 0.0000 0.0000 x4  4 Tc 2.93, 4 Re 2.93
Sc 0.0000 0.0000 0.5000 x4  4 Re 2.93, 4 Tc 2.93
Re 0.2500 0.2500 0.7500 x4  4 Th 2.93, 4 Sc 2.93
Tc 0.2500 0.2500 0.2500 x4  4 Th 2.93, 4 Sc 2.93

---

(2)
ReRhBr2 | GGA-PBE | optimized geometry

Output
formation energy from raw total energies = 547 meV/atom
spin magnetization = 0.22 μB/atom
ρ = 7.73 g/cm3

abc: 13.7093 3.1002 4.5777
angles: 90.00 97.28 90.00
Last column: nearest neighbours and their distance in Å.
Space group C2/m (No. 12)
Asymmetric unit:
Re 0.0000 0.0000 0.0000 x2  4 Br 2.55, 4 Rh 2.76
Rh 0.0000 0.5000 0.5000 x2  2 Br 2.51, 4 Re 2.76
Br 0.1410 0.5000 0.1991 x4  1 Rh 2.51, 2 Re 2.55

---

(3)
La6Te3Se2Br | GGA-PBE | optimized geometry

Output
formation energy from raw total energies = -1676 meV/atom
spin magnetization = 0.00 μB/atom
ρ = 6.45 g/cm3

abc: 7.7102 13.3540 7.7138
angles: 90.00 109.42 90.00
Last column: nearest neighbours and their distance in Å.
Space group C2/m (No. 12)
Asymmetric unit:
La 0.2299 0.0000 0.2254 x4  2 Se 3.02, 1 Br 3.13, 3 Te 3.18-3.25
La 0.2502 0.1723 0.7694 x8  2 Se 3.03, 1 Br 3.14, 3 Te 3.20-3.27
Te 0.0000 0.0000 0.5000 x2  6 La 3.18-3.27
Te 0.0000 0.3378 0.5000 x4  6 La 3.20-3.27
Se 0.0000 0.1678 0.0000 x4  6 La 3.02-3.03
Br 0.0000 0.5000 0.0000 x2  6 La 3.13-3.14

---

(4)
Nd2YGa | GGA-PBE | optimized geometry

Output
spin magnetization = 0.00 μB/atom
ρ = 5.66 g/cm3
ΔH_f (0 K) = 0.159 eV/atom

abc: 3.5574 3.5574 35.9359
angles: 90.00 90.00 120.00
Last column: nearest neighbours and their distance in Å.
Space group R-3m (No. 166, hexagonal axes)
Asymmetric unit:
Nd 0.0000 0.0000 0.0857 x6  1 Ga 3.08
Y 0.0000 0.0000 0.5000 x3  6 Y 3.56, 6 Nd 3.56
Ga 0.0000 0.0000 0.0000 x3  2 Nd 3.08

---

(5)
SmPuAl4 | GGA-PBE | optimized geometry

Output
spin magnetization = 1.01 μB/atom
ρ = 6.76 g/cm3
ΔH_f (0 K) = -0.393 eV/atom

abc: 7.9037 7.9037 7.9037
angles: 90.00 90.00 90.00
Last column: nearest neighbours and their distance in Å.
Space group F-43m (No. 216)
Asymmetric unit:
Sm 0.0000 0.0000 0.0000 x4  12 Al 3.28, 4 Pu 3.42
Pu 0.2500 0.2500 0.2500 x4  12 Al 3.28, 4 Sm 3.42
Al 0.1244 0.1244 0.6244 x16  6 Al 2.78-2.81

---

(6)
CaSbIr2 | GGA-PBE | optimized geometry

Output
formation energy from raw total energies = -189 meV/atom
spin magnetization = 0.00 μB/atom
ρ = 12.49 g/cm3

abc: 4.3753 4.3753 3.7936
angles: 90.00 90.00 90.00
Last column: nearest neighbours and their distance in Å.
Space group P4/mmm (No. 123)
Asymmetric unit:
Ca 0.0000 0.0000 0.0000 x1  8 Ir 2.90, 4 Sb 3.09
Sb 0.5000 0.5000 0.0000 x1  8 Ir 2.90, 4 Ca 3.09
Ir 0.0000 0.5000 0.5000 x2  4 Sb 2.90, 4 Ca 2.90, 4 Ir 3.09

---

(7)
TlOF3 | GGA-PBE | optimized geometry

Output
formation energy from raw total energies = -375 meV/atom
spin magnetization = 0.03 μB/atom
ρ = 7.03 g/cm3

abc: 4.0316 4.0316 4.0316
angles: 90.00 90.00 90.00
Last column: nearest neighbours and their distance in Å.
Space group Pm-3m (No. 221)
Asymmetric unit:
Tl 0.0000 0.0000 0.0000 x1  12 F 2.85
O 0.5000 0.5000 0.5000 x1  6 F 2.02
F 0.0000 0.5000 0.5000 x3  2 O 2.02

---

(8)
Pr4Cd2GaHg | GGA-PBE | optimized geometry

Output
spin magnetization = 0.01 μB/atom
ρ = 7.77 g/cm3
ΔH_f (0 K) = -0.403 eV/atom

abc: 5.4191 5.4191 26.7075
angles: 90.00 90.00 120.00
Last column: nearest neighbours and their distance in Å.
Space group R-3m (No. 166, hexagonal axes)
Asymmetric unit:
Pr 0.0000 0.0000 0.1219 x6  1 Ga 3.25, 4 Cd 3.28-3.39, 3 Hg 3.35
Pr 0.0000 0.0000 0.3719 x6  4 Cd 3.29-3.36, 3 Ga 3.29, 1 Hg 3.42
Cd 0.0000 0.0000 0.2488 x6  8 Pr 3.28-3.39
Ga 0.0000 0.0000 0.0000 x3  8 Pr 3.25-3.29
Hg 0.0000 0.0000 0.5000 x3  8 Pr 3.35-3.42

---

(9)
FeIr2W2 | GGA-PBE | optimized geometry

Output
spin magnetization = 0.00 μB/atom
ρ = 17.06 g/cm3
ΔH_f (0 K) = 0.271 eV/atom

abc: 7.4961 7.4961 2.7986
angles: 90.00 90.00 90.00
Last column: nearest neighbours and their distance in Å.
Space group P4/mbm (No. 127)
Asymmetric unit:
Fe 0.0000 0.0000 0.0000 x2  2 Fe 2.80, 4 Ir 2.95, 8 W 3.12
Ir 0.1279 0.3721 0.0000 x4  6 W 2.56-2.65, 3 Ir 2.71-2.80
W 0.1697 0.6697 0.5000 x4  6 Ir 2.56-2.65, 2 W 2.80

---

(10)
TcAsW2 | GGA-PBE | optimized geometry

Output
spin magnetization = 0.00 μB/atom
ρ = 14.31 g/cm3
ΔH_f (0 K) = 0.248 eV/atom

abc: 2.9584 4.1258 5.1384
angles: 90.00 90.00 90.00
Last column: nearest neighbours and their distance in Å.
Space group Pmm2 (No. 25)
Asymmetric unit:
Tc 0.0000 0.0000 0.0000 x1  2 W 2.54-2.60, 4 As 2.82
As 0.5000 0.5000 0.7624 x1  2 W 2.55-2.59, 4 Tc 2.82
W 0.0000 0.0000 0.5062 x1  2 Tc 2.54-2.60, 4 W 2.84
W 0.5000 0.5000 0.2582 x1  2 As 2.55-2.59, 4 W 2.84

---

(11)
HoLuSnRu | GGA-PBE | optimized geometry

Output
spin magnetization = 0.00 μB/atom
ρ = 10.47 g/cm3
ΔH_f (0 K) = -0.437 eV/atom

abc: 7.0818 7.0818 7.0818
angles: 90.00 90.00 90.00
Last column: nearest neighbours and their distance in Å.
Space group F-43m (No. 216)
Asymmetric unit:
Ho 0.0000 0.0000 0.0000 x4  4 Ru 3.07, 4 Sn 3.07
Lu 0.0000 0.0000 0.5000 x4  4 Sn 3.07, 4 Ru 3.07
Sn 0.2500 0.2500 0.2500 x4  4 Ho 3.07, 4 Lu 3.07
Ru 0.2500 0.2500 0.7500 x4  4 Lu 3.07, 4 Ho 3.07

---

(12)
DyCd2InHg4 | GGA-PBE | optimized geometry

Output
spin magnetization = 0.00 μB/atom
ρ = 9.74 g/cm3
ΔH_f (0 K) = -0.034 eV/atom

abc: 4.3141 4.3141 11.9454
angles: 90.00 90.00 90.00
Last column: nearest neighbours and their distance in Å.
Space group P4/mmm (No. 123)
Asymmetric unit:
Dy 0.0000 0.0000 0.0000 x1  8 Hg 3.13
Cd 0.5000 0.5000 0.3794 x2  1 Cd 2.88, 4 Hg 3.13
In 0.0000 0.0000 0.5000 x1  8 Cd 3.37
Hg 0.0000 0.5000 0.1894 x4  4 Hg 3.05, 2 Dy 3.13, 2 Cd 3.13